Computed, not measured: crystalline Mg2Sc at its relaxed geometry at the GGA-PBEsol level of DFT.

Unit cell a=6.184 b=6.184 c=7.729 alpha=102.82 beta=102.82 gamma=28.68
Fractional coordinates of all 6 atoms:
Mg 0.000 0.000 0.000
Mg 0.068 0.068 0.633
Mg 0.337 0.337 0.671
Mg 0.671 0.671 0.339
Sc 0.400 0.400 0.292
Sc 0.733 0.733 0.969

Properties
Calculated formation energy ... 4 kJ/mol of atoms
SG ... Cm (8)

=====

Computed, not measured: crystalline LaTeIO2 at its relaxed geometry at the GGA-PBEsol level of DFT.

Unit cell a=4.369 b=4.369 c=7.183 alpha=90.00 beta=90.00 gamma=90.00
Fractional coordinates of all 5 atoms:
La 0.000 0.000 0.000
Te 0.500 0.500 0.500
I 0.000 0.000 0.500
O 0.000 0.500 0.000
O 0.500 0.000 0.000

Properties
Total energy ... -5.30 eV per atom
SG ... P4/mmm (123)

=====

Computed, not measured: crystalline Zr3SiAg at its relaxed geometry at the GGA-PBEsol level of DFT.

Unit cell a=4.877 b=4.877 c=4.877 alpha=90.00 beta=90.00 gamma=90.00
Fractional coordinates of all 5 atoms:
Zr 0.000 0.000 0.500
Zr 0.000 0.500 0.000
Zr 0.500 0.000 0.000
Si 0.000 0.000 0.000
Ag 0.500 0.500 0.500

Properties
Total energy ... -7.01 eV per atom
SG ... Pm-3m (221)

=====

Computed, not measured: crystalline K2SbPCO7 at its relaxed geometry at the GGA-PBEsol level of DFT.

Unit cell a=6.165 b=6.851 c=9.705 alpha=90.00 beta=93.76 gamma=90.00
Fractional coordinates of all 24 atoms:
K 0.225 0.010 0.274
K 0.225 0.490 0.274
K 0.775 0.510 0.726
K 0.775 0.990 0.726
Sb 0.335 0.250 0.885
Sb 0.665 0.750 0.115
P 0.267 0.750 0.905
P 0.733 0.250 0.095
C 0.254 0.250 0.613
C 0.746 0.750 0.387
O 0.023 0.750 0.877
O 0.089 0.250 0.691
O 0.243 0.250 0.485
O 0.325 0.750 0.068
O 0.383 0.568 0.846
O 0.383 0.932 0.846
O 0.447 0.250 0.687
O 0.553 0.750 0.313
O 0.617 0.068 0.154
O 0.617 0.432 0.154
O 0.675 0.250 0.932
O 0.757 0.750 0.515
O 0.911 0.750 0.309
O 0.977 0.250 0.123

Properties
Total energy ... -6.80 eV per atom
SG ... P2_1/m (11)

=====

Computed, not measured: crystalline BaAu3I at its relaxed geometry at the GGA-PBEsol level of DFT.

Unit cell a=5.334 b=5.334 c=5.334 alpha=90.00 beta=90.00 gamma=90.00
Fractional coordinates of all 5 atoms:
Ba 0.000 0.000 0.000
Au 0.000 0.500 0.500
Au 0.500 0.000 0.500
Au 0.500 0.500 0.000
I 0.500 0.500 0.500

Properties
Total energy ... -2.93 eV per atom
SG ... Pm-3m (221)

=====

Computed, not measured: crystalline ZnFe2Mo at its relaxed geometry at the GGA-PBEsol level of DFT.

Unit cell a=4.919 b=4.919 c=4.919 alpha=146.90 beta=129.69 gamma=61.55
Fractional coordinates of all 4 atoms:
Zn 0.000 0.000 0.000
Fe 0.253 0.753 0.500
Fe 0.478 0.478 0.000
Mo 0.724 0.224 0.500

Properties
Calculated formation energy ... 15 kJ/mol of atoms
SG ... Imm2 (44)